Entry 1:
Here is YZnPd after structural relaxation from OQMD. Energies are from PBE-GGA.

a b c (Å): 7.3052 7.3052 3.8750
angles (deg): 90.00 90.00 120.00
Atoms (fractional coordinates):
Y  0.4056  0.0000  0.0000
Pd  0.3333  0.6667  0.5000
Y  0.0000  0.4056  0.0000
Zn  0.0000  0.7504  0.5000
Zn  0.2496  0.2496  0.5000
Pd  0.0000  0.0000  0.0000
Zn  0.7504  0.0000  0.5000
Pd  0.6667  0.3333  0.5000
Y  0.5944  0.5944  0.0000

Summary:
energy of formation = -216 kJ/mol of formula units
SG = P-62m

***

Entry 2:
Here is BeTcSb2 after structural relaxation from OQMD. Energies are from PBE-GGA.

a b c (Å): 4.7107 4.7107 4.7107
angles (deg): 60.00 60.00 60.00
Each line ends with the local moment (μB).
Atoms (fractional coordinates):
Tc  0.0000  0.0000  0.0000  0.19
Sb  0.5000  0.5000  0.5000  0.00
Be  0.7500  0.7500  0.7500  0.00
Sb  0.2500  0.2500  0.2500  0.00

Summary:
total energy = -19.1 eV for the cell shown
SG = F-43m

***

| no. | total moment (μB/f.u.) |
| --- | --- |
| 1 | 0.00 |
| 2 | 0.23 |